(1)
First-principles (PBE-GGA) data for an optimized crystal structure of CaSc2Ga9, as listed in the Alexandria database.

Calculated values
* E_tot: -3.930 eV per atom
* Fermi-level density of states: 4.4 states/eV/f.u.
* formation energy from the elements: -0.437 eV/atom

Lattice parameters (Å, degrees): 4.1886 4.1886 12.5900 90.00 90.00 90.00
Last column: nearest neighbours and their distance in Å.
Space group P4/mmm (No. 123)
Inequivalent atoms, fractional coordinates:
Ca: 0.0000 0.0000 0.0000  12 Ga 2.96-3.04
Sc: 0.0000 0.0000 0.3408  12 Ga 2.90-2.96
Ga: 0.0000 0.5000 0.1754  8 Ga 2.90-3.04, 2 Sc 2.95, 2 Ca 3.04
Ga: 0.0000 0.5000 0.5000  4 Sc 2.90, 8 Ga 2.95-2.96
Ga: 0.5000 0.5000 0.0000  4 Ca 2.96, 8 Ga 3.04
Ga: 0.5000 0.5000 0.3352  8 Ga 2.90-2.95, 4 Sc 2.96

=====

(2)
First-principles (PBE-GGA) data for an optimized crystal structure of TbCd4Pd7, as listed in the Alexandria database.

Calculated values
* E_tot: -4.016 eV per atom
* Fermi-level density of states: 3.8 states/eV/f.u.
* formation energy from the elements: -0.296 eV/atom

Lattice parameters (Å, degrees): 10.6555 5.0310 10.0075 90.00 120.38 90.00
Last column: nearest neighbours and their distance in Å.
Space group C2/m (No. 12)
Inequivalent atoms, fractional coordinates:
Tb: 0.0000 0.0000 0.0000  4 Pd 2.52-2.79
Cd: 0.0858 0.5000 0.7699  8 Pd 2.74-2.90
Cd: 0.2497 0.0000 0.6682  6 Pd 2.72-3.03
Pd: 0.0000 0.5000 0.0000  2 Tb 2.52, 2 Pd 2.72
Pd: 0.0568 0.0000 0.3421  4 Pd 2.75-3.00, 3 Cd 2.84-2.86
Pd: 0.1446 0.5000 0.5311  5 Cd 2.74-2.81, 4 Pd 2.77-3.00
Pd: 0.2153 0.0000 0.9193  4 Pd 2.72-2.88, 4 Cd 2.72-2.90, 1 Tb 2.79